First-principles (PBE with a Hubbard U) data for crystalline Cr2NO at its relaxed geometry, as listed in Alexandria via LeMat-Bulk.

Computed properties:
- Crystal system: tetragonal
- Energy above the lowest structure with this stoichiometry: 0.000 eV/atom
- Volume: 12.24 Å³/atom

The structure in extended XYZ format:
```
8
Lattice="5.1608 0.0000 0.0000 0.0000 5.1608 0.0000 2.5804 2.5804 3.6756" Properties=species:S:1:pos:R:3 pbc="T T T"
Cr 3.8007 1.2902 0.9189
Cr 1.3600 3.8706 0.9189
Cr 3.8706 3.9404 2.7567
Cr 6.4510 6.3811 2.7567
O 0.0000 0.0000 0.0000
O 5.1608 2.5804 1.8378
N 2.5804 2.5804 0.0000
N 2.5804 5.1608 1.8378
```